No. 1
Entry from Alexandria: a geometry-optimized BaTc2Ag structure (PBE-GGA).

- space-group type = P2/m
- energy relative to the elements (eV/atom) = 1.125
- theoretical density (g/cm3) = 8.979
- crystal system = monoclinic
- E above lowest polymorph (meV/atom) = 697
- magnetization (μB per formula unit) = 0.72

Unit cell a=3.0324 b=5.1162 c=6.3905 alpha=55.38 beta=90.00 gamma=90.00
With the nearest neighbours (Å) after each atom.
Element x y z (fractional)
Ag  0.5000  0.5000  0.5000  4 Ba 2.97, 2 Ag 3.03, 6 Tc 3.13-3.20
Ba  0.0000  0.0000  0.5000  4 Ag 2.97, 2 Ba 3.03, 6 Tc 3.13-3.20
Tc  0.0000  0.0000  0.0000  6 Tc 2.97-3.03, 4 Ag 3.13, 2 Ba 3.20
Tc  0.5000  0.5000  0.0000  6 Tc 2.97-3.03, 4 Ba 3.13, 2 Ag 3.20

=====

No. 2
Entry from Alexandria: a geometry-optimized Cr2NiAs structure (PBE-GGA).

- space-group type = Pm
- energy relative to the elements (eV/atom) = 0.064
- theoretical density (g/cm3) = 7.515
- crystal system = monoclinic
- magnetization (μB per formula unit) = 0.54

Unit cell a=3.6520 b=2.8550 c=5.2324 alpha=74.23 beta=90.00 gamma=90.00
With the nearest neighbours (Å) after each atom.
Element x y z (fractional)
As  0.5000  0.5566  0.7647  2 Ni 2.30, 5 Cr 2.53-2.56
Cr  0.0000  0.9488  0.9813  1 Ni 2.54, 4 As 2.56, 4 Cr 2.72-2.74
Cr  0.5000  0.3017  0.2680  1 As 2.53, 4 Ni 2.56, 4 Cr 2.72-2.74
Ni  0.0000  0.6929  0.4859  2 As 2.30, 5 Cr 2.54-2.56

=====

No. 3
Entry from Alexandria: a geometry-optimized Ce3ThZn2 structure (PBE-GGA).

- space-group type = P4/mmm
- energy relative to the elements (eV/atom) = -0.120
- theoretical density (g/cm3) = 8.475
- crystal system = tetragonal
- E above lowest polymorph (meV/atom) = 0
- magnetization (μB per formula unit) = 0.42

Unit cell a=3.5250 b=3.5250 c=12.3497 alpha=90.00 beta=90.00 gamma=90.00
With the nearest neighbours (Å) after each atom.
Element x y z (fractional)
Ce  0.0000  0.0000  0.0000  8 Zn 3.15
Ce  0.0000  0.0000  0.6923  4 Zn 3.12, 4 Th 3.44
Ce  0.0000  0.0000  0.3077  4 Zn 3.12, 4 Th 3.44
Th  0.5000  0.5000  0.5000  8 Ce 3.44, 4 Th 3.53
Zn  0.5000  0.5000  0.8445  8 Ce 3.12-3.15
Zn  0.5000  0.5000  0.1555  8 Ce 3.12-3.15

=====

No. 4
Entry from Alexandria: a geometry-optimized Np2SnS structure (PBE-GGA).

- space-group type = R-3m
- ΔE_f (raw) (eV per formula unit) = -2.0
- theoretical density (g/cm3) = 10.478
- crystal system = trigonal
- magnetization (μB per formula unit) = 8.48

Unit cell a=3.7414 b=3.7414 c=8.4489 alpha=77.21 beta=77.21 gamma=60.00
With the nearest neighbours (Å) after each atom.
Element x y z (fractional)
Np  0.2643  0.2643  0.2072  3 S 2.74
Np  0.7357  0.7357  0.7928  3 S 2.74
S  0.0000  0.0000  0.0000  6 Np 2.74
Sn  0.5000  0.5000  0.5000  6 Np 3.22

=====

No. 5
Entry from Alexandria: a geometry-optimized NaInFe2Sn structure (PBE-GGA).

- space-group type = P4/mmm
- energy relative to the elements (eV/atom) = 0.947
- theoretical density (g/cm3) = 4.362
- crystal system = tetragonal
- magnetization (μB per formula unit) = 5.68

Unit cell a=4.9798 b=5.6524 c=4.9798 alpha=90.00 beta=90.00 gamma=90.00
With the nearest neighbours (Å) after each atom.
Element x y z (fractional)
Fe  0.0000  0.0000  0.5000  2 Sn 2.49
Fe  0.5000  0.0000  0.0000  2 Sn 2.49
Na  0.5000  0.5000  0.5000  4 In 3.52, 8 Fe 3.77
Sn  0.0000  0.0000  0.0000  4 Fe 2.49
In  0.0000  0.5000  0.0000  2 Sn 2.83

=====

No. 6
Entry from Alexandria: a geometry-optimized RbSeBr3 structure (PBE-GGA).

- space-group type = P2_1/m
- ΔE_f (raw) (eV per formula unit) = -3.4
- theoretical density (g/cm3) = 3.517
- crystal system = monoclinic
- magnetization (μB per formula unit) = 0.00

Unit cell a=5.4030 b=7.5242 c=10.2116 alpha=90.00 beta=113.16 gamma=90.00
With the nearest neighbours (Å) after each atom.
Element x y z (fractional)
Se  0.0116  0.2500  0.9531  2 Br 2.41
Se  0.9884  0.7500  0.0469  2 Br 2.41
Br  0.1056  0.0108  0.8228  1 Se 2.41
Br  0.8944  0.9892  0.1772  1 Se 2.41
Br  0.1056  0.4892  0.8228  1 Se 2.41
Br  0.8944  0.5108  0.1772  1 Se 2.41
Br  0.7301  0.2500  0.3844  2 Br 3.25, 2 Rb 3.40-3.43
Br  0.2699  0.7500  0.6156  2 Br 3.25, 2 Rb 3.40-3.43
Rb  0.3928  0.2500  0.6070  4 Br 3.40-3.63, 1 Se 3.79
Rb  0.6072  0.7500  0.3930  4 Br 3.40-3.63, 1 Se 3.79

=====

No. 7
Entry from Alexandria: a geometry-optimized Ba4In6Bi7 structure (PBE-GGA).

- space-group type = Im-3m
- energy relative to the elements (eV/atom) = -0.448
- theoretical density (g/cm3) = 7.581
- crystal system = cubic
- magnetization (μB per formula unit) = 0.00

Unit cell a=9.1599 b=9.1599 c=9.1599 alpha=109.47 beta=109.47 gamma=109.47
With the nearest neighbours (Å) after each atom.
Element x y z (fractional)
Ba  0.5000  0.0000  0.0000  6 Bi 3.74, 6 In 3.81
Ba  0.5000  0.5000  0.5000  6 Bi 3.74, 6 In 3.81
Ba  0.0000  0.5000  0.0000  6 Bi 3.74, 6 In 3.81
Ba  0.0000  0.0000  0.5000  6 Bi 3.74, 6 In 3.81
In  0.6790  0.0000  0.6790  5 Bi 3.25-3.39
In  0.6790  0.6790  0.0000  5 Bi 3.25-3.39
In  0.0000  0.3210  0.3210  5 Bi 3.25-3.39
In  0.3210  0.0000  0.3210  5 Bi 3.25-3.39
In  0.3210  0.3210  0.0000  5 Bi 3.25-3.39
In  0.0000  0.6790  0.6790  5 Bi 3.25-3.39
Bi  0.7500  0.5000  0.2500  4 In 3.25
Bi  0.2500  0.7500  0.5000  4 In 3.25
Bi  0.5000  0.7500  0.2500  4 In 3.25
Bi  0.7500  0.2500  0.5000  4 In 3.25
Bi  0.2500  0.5000  0.7500  4 In 3.25
Bi  0.5000  0.2500  0.7500  4 In 3.25
Bi  0.0000  0.0000  0.0000  6 In 3.39

=====

No. 8
Entry from Alexandria: a geometry-optimized TiSeN structure (PBE-GGA).

- space-group type = P-1
- ΔE_f (raw) (eV per formula unit) = -2.7
- theoretical density (g/cm3) = 4.334
- crystal system = triclinic
- magnetization (μB per formula unit) = 0.00

Unit cell a=3.3395 b=6.5129 c=7.1864 alpha=46.68 beta=103.36 gamma=90.17
With the nearest neighbours (Å) after each atom.
Element x y z (fractional)
Ti  0.7352  0.1943  0.4681  3 N 1.89-1.95
Ti  0.2648  0.8057  0.5319  3 N 1.89-1.95
N  0.1590  0.2083  0.3145  3 Ti 1.89-1.95
N  0.8410  0.7917  0.6855  3 Ti 1.89-1.95
Se  0.6194  0.7643  0.2457  1 Se 2.52, 2 Ti 2.76-2.77
Se  0.3806  0.2357  0.7543  1 Se 2.52, 2 Ti 2.76-2.77

=====

No. 9
Entry from Alexandria: a geometry-optimized La3TlN structure (PBE-GGA).

- space-group type = Cmcm
- ΔE_f (raw) (eV per formula unit) = -2.4
- theoretical density (g/cm3) = 6.426
- crystal system = orthorhombic
- magnetization (μB per formula unit) = 0.00

Unit cell a=7.1008 b=7.1008 c=7.6082 alpha=90.00 beta=90.00 gamma=121.16
With the nearest neighbours (Å) after each atom.
Element x y z (fractional)
Tl  0.4594  0.5406  0.2500  4 La 3.46-3.64
Tl  0.5406  0.4594  0.7500  4 La 3.46-3.64
N  0.1213  0.8787  0.2500  4 La 2.22-2.42
N  0.8787  0.1213  0.7500  4 La 2.22-2.42
La  0.4856  0.0415  0.2500  1 N 2.22
La  0.9585  0.5144  0.2500  1 N 2.22
La  0.0415  0.4856  0.7500  1 N 2.22
La  0.5144  0.9585  0.7500  1 N 2.22
La  0.0000  0.0000  0.0000  2 N 2.42
La  0.0000  0.0000  0.5000  2 N 2.42

=====

No. 10
Entry from Alexandria: a geometry-optimized Sm2Al3Ge2 structure (PBE-GGA).

- space-group type = Cmmm
- energy relative to the elements (eV/atom) = -0.388
- theoretical density (g/cm3) = 5.661
- crystal system = orthorhombic
- magnetization (μB per formula unit) = 0.00

Unit cell a=4.4219 b=3.6408 c=9.8524 alpha=90.00 beta=77.01 gamma=90.00
With the nearest neighbours (Å) after each atom.
Element x y z (fractional)
Sm  0.1418  0.5000  0.7166  4 Ge 3.08-3.09, 8 Al 3.20-3.28
Sm  0.8582  0.5000  0.2834  4 Ge 3.08-3.09, 8 Al 3.20-3.28
Al  0.2841  0.0000  0.4320  2 Al 2.57, 1 Ge 2.57
Al  0.0000  0.0000  0.0000  4 Ge 2.71
Al  0.7159  0.0000  0.5680  2 Al 2.57, 1 Ge 2.57
Ge  0.4181  0.0000  0.1639  3 Al 2.57-2.71
Ge  0.5819  0.0000  0.8361  3 Al 2.57-2.71

=====

No. 11
Entry from Alexandria: a geometry-optimized GeP3Se9 structure (PBE-GGA).

- space-group type = Cc
- ΔE_f (raw) (eV per formula unit) = 0.0
- theoretical density (g/cm3) = 3.580
- crystal system = monoclinic
- magnetization (μB per formula unit) = 0.00

Unit cell a=8.3686 b=10.1849 c=11.4533 alpha=71.67 beta=68.57 gamma=65.74
With the nearest neighbours (Å) after each atom.
Element x y z (fractional)
Ge  0.0650  0.3385  0.8734  4 Se 2.53-2.77
Ge  0.7232  0.8385  0.3734  4 Se 2.53-2.77
P  0.7895  0.5451  0.6534  4 Se 2.22-2.32
P  0.0120  0.0451  0.1534  4 Se 2.22-2.32
P  0.9752  0.9710  0.8888  4 Se 2.13-2.35
P  0.1650  0.4710  0.3888  4 Se 2.13-2.35
P  0.5799  0.2696  0.7199  4 Se 2.18-2.31
P  0.4306  0.7696  0.2199  4 Se 2.18-2.31
Se  0.2713  0.2503  0.3625  1 P 2.13
Se  0.1159  0.7503  0.8625  1 P 2.13
Se  0.3704  0.3806  0.8754  1 P 2.21
Se  0.3736  0.8806  0.3754  1 P 2.21
Se  0.1804  0.0945  0.8049  1 P 2.29, 1 Ge 2.53
Se  0.9202  0.5945  0.3049  1 P 2.29, 1 Ge 2.53
Se  0.7071  0.7137  0.0946  1 P 2.18
Se  0.4845  0.2137  0.5946  1 P 2.18
Se  0.9594  0.9543  0.3632  1 P 2.23
Se  0.7231  0.4543  0.8632  1 P 2.23
Se  0.6401  0.7849  0.6180  1 P 2.22
Se  0.9570  0.2849  0.1180  1 P 2.22
Se  0.4208  0.5336  0.2735  2 P 2.29-2.31
Se  0.7721  0.0336  0.7735  2 P 2.29-2.31
Se  0.7216  0.4167  0.5527  2 P 2.30-2.32
Se  0.3091  0.9167  0.0527  2 P 2.30-2.32
Se  0.8004  0.0046  0.0977  2 P 2.30-2.35
Se  0.0973  0.5046  0.5977  2 P 2.30-2.35

=====

No. 12
Entry from Alexandria: a geometry-optimized NaSr2I structure (PBE-GGA).

- space-group type = Fm-3m
- ΔE_f (raw) (eV per formula unit) = -1.3
- theoretical density (g/cm3) = 3.129
- crystal system = cubic
- E above lowest polymorph (meV/atom) = 204
- magnetization (μB per formula unit) = 0.00

Unit cell a=6.2489 b=6.2489 c=6.2489 alpha=60.00 beta=60.00 gamma=60.00
With the nearest neighbours (Å) after each atom.
Element x y z (fractional)
I  0.5000  0.5000  0.5000  8 Sr 3.83
Sr  0.2500  0.2500  0.2500  4 Na 3.83, 4 I 3.83
Sr  0.7500  0.7500  0.7500  4 Na 3.83, 4 I 3.83
Na  0.0000  0.0000  0.0000  8 Sr 3.83